Entry 1:
Compound: NdAlAu11
Source: Alexandria via LeMat-Bulk
Functional: GGA-PBE
Structure: relaxed

Cell: 5.5338 7.2185 7.2499 Å, 82.54 67.56 70.11°
With the nearest neighbours (Å) after each atom.
Positions (direct):
Au1 0.0000 0.5000 0.0000  2 Al 2.77, 8 Au 2.82-2.86
Al1 0.5000 0.5000 0.0000  10 Au 2.63-2.90
Au2 0.0000 0.0000 0.5000  10 Au 2.77-2.98
Au3 0.5209 0.2191 0.7905  1 Al 2.63, 5 Au 2.78-2.91
Au4 0.4791 0.7809 0.2095  1 Al 2.63, 5 Au 2.78-2.91
Nd1 0.0000 0.0000 0.0000  18 Au 3.29-3.62
Au5 0.6886 0.7809 0.7905  1 Al 2.63, 5 Au 2.78-2.91
Au6 0.5000 0.0000 0.5000  10 Au 2.77-2.98
Au7 0.3380 0.6505 0.6590  7 Au 2.82-3.14, 1 Al 2.90
Au8 0.3114 0.2191 0.2095  1 Al 2.63, 5 Au 2.78-2.91
Au9 0.9970 0.6505 0.3410  7 Au 2.82-3.14, 1 Al 2.90
Au10 0.0030 0.3495 0.6590  7 Au 2.82-3.14, 1 Al 2.90
Au11 0.6620 0.3495 0.3410  7 Au 2.82-3.14, 1 Al 2.90

Volume, Å³/atom: 19.4
E_form, eV/atom: -0.2785
Size of the total moment, μB/f.u.: 0.000

---

Entry 2:
Compound: NdAl3Au4
Source: Alexandria via LeMat-Bulk
Functional: GGA-PBE
Structure: relaxed

Cell: 4.4031 4.4031 8.2468 Å, 90.00 90.00 90.00°
With the nearest neighbours (Å) after each atom.
Positions (direct):
Au1 0.5000 0.0000 0.1813  4 Al 2.58-2.66
Al1 0.5000 0.5000 0.3443  1 Al 2.57, 4 Au 2.58
Al2 0.5000 0.5000 0.6557  1 Al 2.57, 4 Au 2.58
Nd1 0.0000 0.0000 0.5000  8 Al 3.37, 8 Au 3.43
Au2 0.0000 0.5000 0.8187  4 Al 2.58-2.66
Au3 0.0000 0.5000 0.1813  4 Al 2.58-2.66
Al3 0.0000 0.0000 0.0000  8 Au 2.66
Au4 0.5000 0.0000 0.8187  4 Al 2.58-2.66

Volume, Å³/atom: 20.0
E_form, eV/atom: -0.5407
Size of the total moment, μB/f.u.: 0.000

---

Entry 3:
Compound: NdAl2Au3
Source: Alexandria via LeMat-Bulk
Functional: GGA-PBE
Structure: relaxed

Cell: 5.5287 6.7200 6.7200 Å, 100.32 90.00 90.00°
With the nearest neighbours (Å) after each atom.
Positions (direct):
Au1 0.2500 0.8790 0.5260  2 Al 2.51, 1 Au 2.77
Au2 0.2500 0.5260 0.8790  2 Al 2.51, 1 Au 2.77
Au3 0.7500 0.1210 0.4740  2 Al 2.51, 1 Au 2.77
Al1 0.0000 0.2109 0.7891  4 Au 2.51-2.62, 2 Al 2.76
Au4 0.7500 0.4740 0.1210  2 Al 2.51, 1 Au 2.77
Al2 0.5000 0.2109 0.7891  4 Au 2.51-2.62, 2 Al 2.76
Al3 0.5000 0.7891 0.2109  4 Au 2.51-2.62, 2 Al 2.76
Al4 0.0000 0.7891 0.2109  4 Au 2.51-2.62, 2 Al 2.76
Nd1 0.2500 0.3125 0.3125  9 Au 3.17-3.54
Nd2 0.7500 0.6875 0.6875  9 Au 3.17-3.54
Au5 0.2500 0.9445 0.9445  4 Al 2.62, 4 Au 2.77-2.93
Au6 0.7500 0.0555 0.0555  4 Al 2.62, 4 Au 2.77-2.93

Volume, Å³/atom: 20.5
E_form, eV/atom: -0.6392
Size of the total moment, μB/f.u.: 0.000

---

Entry 4:
Compound: NdAlAu2
Source: Alexandria via LeMat-Bulk
Functional: GGA-PBE
Structure: relaxed

Cell: 4.6092 7.3824 10.2841 Å, 90.00 90.00 90.00°
With the nearest neighbours (Å) after each atom.
Positions (direct):
Au1 0.2500 0.8849 0.1805  2 Al 2.52-2.65
Nd1 0.2500 0.3341 0.6468  9 Au 3.12-3.39, 1 Al 3.34
Au2 0.7500 0.7276 0.0517  3 Al 2.55-2.73
Au3 0.2500 0.3849 0.3195  2 Al 2.52-2.65
Au4 0.7500 0.1151 0.8195  2 Al 2.52-2.65
Au5 0.7500 0.6151 0.6805  2 Al 2.52-2.65
Nd2 0.2500 0.8341 0.8532  9 Au 3.12-3.39, 1 Al 3.34
Al1 0.2500 0.0435 0.3979  5 Au 2.52-2.73
Nd3 0.7500 0.1659 0.1468  9 Au 3.12-3.39, 1 Al 3.34
Au6 0.7500 0.2276 0.4483  3 Al 2.55-2.73
Al2 0.7500 0.9565 0.6021  5 Au 2.52-2.73
Nd4 0.7500 0.6659 0.3532  9 Au 3.12-3.39, 1 Al 3.34
Al3 0.2500 0.5435 0.1021  5 Au 2.52-2.73
Au7 0.2500 0.2724 0.9483  3 Al 2.55-2.73
Al4 0.7500 0.4565 0.8979  5 Au 2.52-2.73
Au8 0.2500 0.7724 0.5517  3 Al 2.55-2.73

Volume, Å³/atom: 21.9
E_form, eV/atom: -0.7458
Size of the total moment, μB/f.u.: 0.000

---

Entry 5:
Compound: NdAlAu
Source: Alexandria via LeMat-Bulk
Functional: GGA-PBE
Structure: relaxed

Cell: 4.4095 4.4096 7.0648 Å, 90.00 90.00 90.00°
With the nearest neighbours (Å) after each atom.
Positions (direct):
Nd1 0.6103 0.8726 0.3988  5 Au 3.14-3.25, 4 Al 3.27
Al1 0.1103 0.8726 0.0563  4 Au 2.67
Nd2 0.1103 0.3726 0.7139  5 Au 3.14-3.25, 4 Al 3.27
Au1 0.6103 0.8727 0.8431  4 Al 2.67
Au2 0.1102 0.3726 0.2696  4 Al 2.67
Al2 0.6102 0.3726 0.0563  4 Au 2.67

Volume, Å³/atom: 22.9
E_form, eV/atom: -0.6903
Size of the total moment, μB/f.u.: 0.000

---

Entry 6:
Compound: Nd3AlAu4
Source: Alexandria via LeMat-Bulk
Functional: GGA-PBE
Structure: relaxed

Cell: 4.1402 7.0780 8.2435 Å, 115.42 104.54 90.00°
With the nearest neighbours (Å) after each atom.
Positions (direct):
Au1 0.6198 0.8316 0.2397  1 Al 2.66
Au2 0.3802 0.5920 0.7603  1 Al 2.66
Au3 0.6198 0.4080 0.2397  1 Al 2.66
Al1 0.5000 0.0000 0.0000  4 Au 2.66
Nd1 0.1922 0.1922 0.3843  6 Au 3.08-3.09, 2 Al 3.44
Nd2 0.0000 0.5000 0.0000  8 Au 3.08
Nd3 0.8078 0.8078 0.6157  6 Au 3.08-3.09, 2 Al 3.44
Au4 0.3802 0.1684 0.7603  1 Al 2.66

Volume, Å³/atom: 26.2
E_form, eV/atom: -0.6342
Size of the total moment, μB/f.u.: 0.000